Record 1
# PBE Sr3Cu2PdO9, optimized geometry
data_Sr3Cu2PdO9
_chemical_formula_sum 'Sr3 Cu2 Pd1 O9'
_symmetry_space_group_name_H-M 'P -3 m 1'
_symmetry_Int_Tables_number 164
_symmetry_space_group_name_Hall '-P 3 2"'
_cell_length_a 5.5649
_cell_length_b 5.5649
_cell_length_c 6.8435
_cell_angle_alpha 90.00
_cell_angle_beta 90.00
_cell_angle_gamma 120.00
loop_
_atom_site_label
_atom_site_type_symbol
_atom_site_fract_x
_atom_site_fract_y
_atom_site_fract_z
Sr1 Sr 0.0000 0.0000 0.0000
Sr2 Sr 0.3333 0.6667 0.6683
Cu1 Cu 0.3333 0.6667 0.1553
Pd1 Pd 0.0000 0.0000 0.5000
O1 O 0.0000 0.5000 0.0000
O2 O 0.1705 0.3410 0.3324
# Uncorrected formation energy in eV/atom: -1.314

=====

Record 2
# PBE CrGeIr, optimized geometry
data_CrGeIr
_chemical_formula_sum 'Cr2 Ge2 Ir2'
_symmetry_space_group_name_H-M 'P 4/n m m'
_symmetry_Int_Tables_number 129
_cell_length_a 3.9420
_cell_length_b 3.9420
_cell_length_c 6.0677
_cell_angle_alpha 90.00
_cell_angle_beta 90.00
_cell_angle_gamma 90.00
loop_
_symmetry_equiv_pos_as_xyz
'x,y,z'
'-x,-y,-z'
'-y+1/2,x,z'
'y+1/2,-x,-z'
'-x+1/2,-y+1/2,z'
'x+1/2,y+1/2,-z'
'y,-x+1/2,z'
'-y,x+1/2,-z'
'x+1/2,-y,-z'
'-x+1/2,y,z'
'-y,-x,-z'
'y,x,z'
'-x,y+1/2,-z'
'x,-y+1/2,z'
'y+1/2,x+1/2,-z'
'-y+1/2,-x+1/2,z'
loop_
_atom_site_label
_atom_site_type_symbol
_atom_site_fract_x
_atom_site_fract_y
_atom_site_fract_z
Cr1 Cr 0.2500 0.2500 0.1909
Ge1 Ge 0.2500 0.2500 0.7748
Ir1 Ir 0.2500 0.7500 0.5000
# DFT formation energy in eV per formula unit: -0.04

=====

Record 3
# PBE AlTe2PI, optimized geometry
data_AlTe2PI
_chemical_formula_sum 'Al1 Te2 P1 I1'
_symmetry_space_group_name_H-M 'P 4/m m m'
_symmetry_Int_Tables_number 123
_symmetry_space_group_name_Hall '-P 4 2'
_cell_length_a 5.4088
_cell_length_b 5.4088
_cell_length_c 5.3265
_cell_angle_alpha 90.00
_cell_angle_beta 90.00
_cell_angle_gamma 90.00
loop_
_atom_site_label
_atom_site_type_symbol
_atom_site_fract_x
_atom_site_fract_y
_atom_site_fract_z
Al1 Al 0.0000 0.0000 0.0000
Te1 Te 0.0000 0.5000 0.0000
P1 P 0.5000 0.5000 0.5000
I1 I 0.0000 0.0000 0.5000
# Uncorrected formation energy in eV/atom: 0.686

=====

Record 4
# PBE Tb2DyHoIn4, optimized geometry
data_Tb2DyHoIn4
_chemical_formula_sum 'Tb6 Dy3 Ho3 In12'
_symmetry_space_group_name_H-M 'R -3 m'
_symmetry_Int_Tables_number 166
_symmetry_space_group_name_Hall '-R 3 2"'
_cell_length_a 5.3143
_cell_length_b 5.3143
_cell_length_c 26.0889
_cell_angle_alpha 90.00
_cell_angle_beta 90.00
_cell_angle_gamma 120.00
loop_
_atom_site_label
_atom_site_type_symbol
_atom_site_fract_x
_atom_site_fract_y
_atom_site_fract_z
Tb1 Tb 0.0000 0.0000 0.2499
Dy1 Dy 0.0000 0.0000 0.0000
Ho1 Ho 0.0000 0.0000 0.5000
In1 In 0.0000 0.0000 0.1252
In2 In 0.0000 0.0000 0.3752
# DFT formation energy in eV per formula unit: -3.74

=====

Record 5
# PBE Cs2GeSeI, optimized geometry
data_Cs2GeSeI
_chemical_formula_sum 'Cs2 Ge1 Se1 I1'
_symmetry_space_group_name_H-M 'P 4/m m m'
_symmetry_Int_Tables_number 123
_symmetry_space_group_name_Hall '-P 4 2'
_cell_length_a 7.0437
_cell_length_b 7.0437
_cell_length_c 5.6865
_cell_angle_alpha 90.00
_cell_angle_beta 90.00
_cell_angle_gamma 90.00
loop_
_atom_site_label
_atom_site_type_symbol
_atom_site_fract_x
_atom_site_fract_y
_atom_site_fract_z
Cs1 Cs 0.0000 0.5000 0.0000
Ge1 Ge 0.0000 0.0000 0.5000
Se1 Se 0.5000 0.5000 0.0000
I1 I 0.5000 0.5000 0.5000
# Uncorrected formation energy in eV/atom: -0.155

=====

Record 6
# PBE TlZnRe2, optimized geometry
data_TlZnRe2
_chemical_formula_sum 'Tl1 Zn1 Re2'
_symmetry_space_group_name_H-M 'P 4/m m m'
_symmetry_Int_Tables_number 123
_symmetry_space_group_name_Hall '-P 4 2'
_cell_length_a 3.3129
_cell_length_b 3.3129
_cell_length_c 6.2828
_cell_angle_alpha 90.00
_cell_angle_beta 90.00
_cell_angle_gamma 90.00
loop_
_atom_site_label
_atom_site_type_symbol
_atom_site_fract_x
_atom_site_fract_y
_atom_site_fract_z
Tl1 Tl 0.0000 0.0000 0.0000
Zn1 Zn 0.0000 0.0000 0.5000
Re1 Re 0.5000 0.5000 0.3074
# DFT formation energy in eV per formula unit: 3.65

=====

no.,Fermi-level density of states (states/eV/cell)
1,12.198
2,7.196
3,3.769
4,9.951
5,5.141
6,4.469